Density functional theory data (PBE) for a relaxed PrZnNi crystal.

## Properties
As for the energy relative to the elements: -1.06 eV per formula unit. For the energy relative to the lowest polymorph listed for this composition, the calculation gives 17 meV/atom. As for the space-group type: P6_3/mmc (194).

```
PrZnNi
1.0
4.2973 0.0000 0.0000
-2.1486 3.7216 0.0000
0.0000 0.0000 7.6838
Pr Zn Ni
2 2 2
direct
0.0000 0.0000 0.0000
0.0000 0.0000 0.5000
0.3333 0.6667 0.2500
0.6667 0.3333 0.7500
0.3333 0.6667 0.7500
0.6667 0.3333 0.2500
```